Li4Tb3PuSe8: optimized geometry, GGA-PBE.

Unit cell a=8.2035 b=8.0367 c=8.2027 alpha=120.70 beta=120.00 gamma=90.00
Element x y z (fractional)
Li (0.5000, 0.0000, 0.0000)
Li (0.5000, 0.0000, 0.5000)
Li (0.0000, 0.0000, 0.0000)
Li (0.0000, 0.0000, 0.5000)
Tb (0.5000, 0.5000, 0.0000)
Tb (0.5000, 0.5000, 0.5000)
Tb (0.0000, 0.5000, 0.5000)
Pu (0.0000, 0.5000, 0.0000)
Se (0.2527, 0.7545, 0.0018)
Se (0.2527, 0.7545, 0.5055)
Se (0.2485, 0.2456, 0.4970)
Se (0.7491, 0.7545, 0.0018)
Se (0.2509, 0.2455, 0.9982)
Se (0.7515, 0.7544, 0.5030)
Se (0.7473, 0.2455, 0.4945)
Se (0.7473, 0.2455, 0.9982)

Values from the calculation:
DFT total energy = -89.525 eV/cell

***

SrMn2Ag: optimized geometry, GGA-PBE.

Unit cell a=3.5120 b=3.5231 c=7.5009 alpha=90.00 beta=90.00 gamma=90.00
Element x y z (fractional)
Ag (0.5000, 0.5000, 0.7500)
Mn (0.0000, 0.0000, 0.9319)
Mn (0.0000, 0.0000, 0.5681)
Sr (0.5000, 0.5000, 0.2500)

Values from the calculation:
DFT total energy = -20.706 eV/cell
Formation energy from the elements = 0.5417 eV/atom

***

SrAl3Tc: optimized geometry, GGA-PBE.

Unit cell a=8.4436 b=7.4673 c=6.4891 alpha=90.00 beta=90.00 gamma=90.00
Element x y z (fractional)
Sr (0.0000, 0.0000, 0.5000)
Sr (0.5000, 0.5000, 0.0000)
Sr (0.5000, 0.0000, 0.0000)
Sr (0.0000, 0.5000, 0.5000)
Tc (0.6510, 0.2500, 0.3717)
Tc (0.8490, 0.7500, 0.8717)
Tc (0.3490, 0.7500, 0.6283)
Tc (0.1510, 0.2500, 0.1283)
Al (0.1333, 0.9232, 0.9523)
Al (0.3667, 0.4232, 0.4523)
Al (0.3667, 0.0768, 0.4523)
Al (0.8667, 0.4232, 0.0477)
Al (0.8667, 0.0768, 0.0477)
Al (0.6333, 0.5768, 0.5477)
Al (0.6333, 0.9232, 0.5477)
Al (0.1333, 0.5768, 0.9523)
Al (0.2406, 0.2500, 0.7777)
Al (0.2594, 0.7500, 0.2777)
Al (0.7594, 0.7500, 0.2223)
Al (0.7406, 0.2500, 0.7223)

Values from the calculation:
DFT total energy = -92.979 eV/cell
Formation energy from the elements = 0.0062 eV/atom
ΔE to the lowest computed polymorph = 328 meV/atom